A geometry-optimized In2SnCl structure. Source: the Alexandria database, functional PBE.

Lattice parameters (Å, degrees): 3.312 5.731 5.731 90.00 90.00 90.00
Atoms (fractional coordinates):
Cl  0.500  0.500  0.500
In  0.000  0.000  0.500
In  0.000  0.500  0.000
Sn  0.500  0.000  0.000

Computed properties:
For the energy relative to the lowest polymorph listed for this composition, the calculation gives 0 meV per atom. The uncorrected energy is -3.121 eV/atom. Its space group is P4/mmm (123).

=====

A geometry-optimized Pm2Nd3SmHo6 structure. Source: the Alexandria database, functional PBE.

Lattice parameters (Å, degrees): 6.238 6.238 11.802 95.03 95.03 120.00
Atoms (fractional coordinates):
Ho  0.250  0.250  0.751
Ho  0.416  0.083  0.249
Ho  0.083  0.416  0.249
Ho  0.584  0.917  0.751
Ho  0.917  0.584  0.751
Ho  0.750  0.750  0.249
Nd  0.500  0.500  0.500
Nd  0.833  0.167  0.500
Nd  0.167  0.833  0.500
Pm  0.667  0.333  0.000
Pm  0.333  0.667  0.000
Sm  0.000  0.000  0.000

Computed properties:
The uncorrected energy is -4.653 eV/atom. Its space group is C2/m (12). The calculation puts the formation energy from the elements at 0.0128 eV per atom.

=====

A geometry-optimized Tc3W2 structure. Source: the Alexandria database, functional PBE.

Lattice parameters (Å, degrees): 11.582 11.582 11.582 13.77 13.77 13.77
Atoms (fractional coordinates):
W  0.400  0.400  0.400
W  0.600  0.600  0.600
Tc  0.198  0.198  0.198
Tc  0.000  0.000  0.000
Tc  0.802  0.802  0.802

Computed properties:
For the energy relative to the lowest polymorph listed for this composition, the calculation gives 49 meV per atom. The uncorrected energy is -11.209 eV/atom. Its space group is R-3m (166). The calculation puts the formation energy from the elements at 0.1915 eV per atom.

=====

A geometry-optimized CaCd4Ag structure. Source: the Alexandria database, functional PBE.

Lattice parameters (Å, degrees): 6.932 6.932 8.072 64.55 64.55 89.94
Atoms (fractional coordinates):
Cd  0.004  0.199  0.296
Cd  0.504  0.004  0.296
Cd  0.801  0.301  0.704
Cd  0.301  0.496  0.704
Cd  0.996  0.801  0.704
Cd  0.496  0.996  0.704
Cd  0.699  0.504  0.296
Cd  0.199  0.699  0.296
Ag  0.750  0.750  0.500
Ag  0.250  0.250  0.500
Ca  0.500  0.500  0.000
Ca  0.000  0.000  0.000

Computed properties:
For the energy relative to the lowest polymorph listed for this composition, the calculation gives 105 meV per atom. The uncorrected energy is -1.499 eV/atom. Its space group is Fmmm (69). The calculation puts the formation energy from the elements at -0.0799 eV per atom.

=====

A geometry-optimized Ce4GeTe3 structure. Source: the Alexandria database, functional PBE.

Lattice parameters (Å, degrees): 4.419 7.704 7.704 109.22 90.00 90.00
Last column: magnetic moment on the atom in μB.
Atoms (fractional coordinates):
Te  0.000  0.500  0.000  -0.02
Te  0.000  0.000  0.500  -0.02
Te  0.500  0.500  0.500  -0.02
Ge  0.500  0.000  0.000  -0.03
Ce  0.500  0.760  0.240  0.91
Ce  0.500  0.240  0.760  0.91
Ce  0.000  0.232  0.232  0.86
Ce  0.000  0.768  0.768  0.86

Computed properties:
For the energy relative to the lowest polymorph listed for this composition, the calculation gives 0 meV per atom. The uncorrected energy is -5.956 eV/atom. Its space group is Cmmm (65).

=====

A geometry-optimized CaZrTa3 structure. Source: the Alexandria database, functional PBE.

Lattice parameters (Å, degrees): 5.031 5.031 5.031 90.00 90.00 90.00
Atoms (fractional coordinates):
Ta  0.500  0.000  0.000
Ta  0.000  0.500  0.000
Ta  0.000  0.000  0.500
Ca  0.500  0.500  0.500
Zr  0.000  0.000  0.000

Computed properties:
For the energy relative to the lowest polymorph listed for this composition, the calculation gives 0 meV per atom. The uncorrected energy is -7.660 eV/atom. Its space group is Pm-3m (221). The calculation puts the formation energy from the elements at 1.5613 eV per atom.

=====

A geometry-optimized KU6Se8 structure. Source: the Alexandria database, functional PBE.

Lattice parameters (Å, degrees): 7.682 7.682 7.682 70.12 70.12 70.12
Last column: magnetic moment on the atom in μB.
Atoms (fractional coordinates):
U  0.923  0.545  0.312  2.96
U  0.455  0.688  0.077  2.96
U  0.077  0.455  0.688  2.96
U  0.688  0.077  0.455  2.96
U  0.312  0.923  0.545  2.96
U  0.545  0.312  0.923  2.96
Se  0.806  0.376  0.099  -0.06
Se  0.901  0.194  0.624  -0.06
Se  0.624  0.901  0.194  -0.06
Se  0.376  0.099  0.806  -0.06
Se  0.194  0.624  0.901  -0.06
Se  0.099  0.806  0.376  -0.06
Se  0.671  0.671  0.671  -0.07
Se  0.329  0.329  0.329  -0.07
K  0.000  0.000  0.000  0.04

Computed properties:
The uncorrected energy is -7.367 eV/atom. Its space group is R-3 (148).

=====

A geometry-optimized BaRuN2Cl structure. Source: the Alexandria database, functional PBE.

Lattice parameters (Å, degrees): 3.986 6.472 3.986 90.00 90.00 90.00
Atoms (fractional coordinates):
N  0.500  0.000  0.000
N  0.000  0.000  0.500
Ba  0.000  0.500  0.000
Ru  0.000  0.000  0.000
Cl  0.500  0.500  0.500

Computed properties:
The uncorrected energy is -5.975 eV/atom. Its space group is P4/mmm (123).

=====

A geometry-optimized Ga3BiCl structure. Source: the Alexandria database, functional PBE.

Lattice parameters (Å, degrees): 5.777 5.777 5.777 90.00 90.00 90.00
Atoms (fractional coordinates):
Ga  0.500  0.000  0.000
Ga  0.000  0.500  0.000
Ga  0.000  0.000  0.500
Bi  0.000  0.000  0.000
Cl  0.500  0.500  0.500

Computed properties:
For the energy relative to the lowest polymorph listed for this composition, the calculation gives 153 meV per atom. The uncorrected energy is -2.638 eV/atom. Its space group is Pm-3m (221).

=====

A geometry-optimized La3Pm2Pr structure. Source: the Alexandria database, functional PBE.

Lattice parameters (Å, degrees): 9.079 7.406 7.406 120.00 90.00 90.00
Atoms (fractional coordinates):
Pr  0.330  0.667  0.333
Pr  0.670  0.333  0.667
Pm  0.000  0.000  0.500
Pm  0.000  0.500  0.000
Pm  0.000  0.500  0.500
Pm  0.000  0.000  0.000
La  0.669  0.834  0.668
La  0.669  0.834  0.166
La  0.331  0.166  0.834
La  0.331  0.166  0.332
La  0.669  0.332  0.166
La  0.331  0.668  0.834

Computed properties:
For the energy relative to the lowest polymorph listed for this composition, the calculation gives 0 meV per atom. The uncorrected energy is -4.832 eV/atom. Its space group is P-3m1 (164). The calculation puts the formation energy from the elements at 0.0123 eV per atom.

=====

A geometry-optimized Dy2Cd2Pt3 structure. Source: the Alexandria database, functional PBE.

Lattice parameters (Å, degrees): 4.315 7.428 5.293 104.56 114.05 90.00
Atoms (fractional coordinates):
Dy  0.366  0.180  0.732
Dy  0.634  0.820  0.268
Pt  0.328  0.788  0.655
Pt  0.672  0.212  0.345
Pt  0.000  0.000  0.000
Cd  0.125  0.431  0.250
Cd  0.875  0.569  0.750

Computed properties:
For the energy relative to the lowest polymorph listed for this composition, the calculation gives 0 meV per atom. The uncorrected energy is -5.036 eV/atom. Its space group is C2/m (12). The calculation puts the formation energy from the elements at -0.8704 eV per atom.

=====

A geometry-optimized CaCO3 structure. Source: the Alexandria database, functional PBE.

Lattice parameters (Å, degrees): 5.033 5.033 8.728 89.92 89.92 59.95
Atoms (fractional coordinates):
O  0.244  0.756  0.500
O  0.654  0.423  0.170
O  0.985  0.273  0.500
O  0.908  0.686  0.170
O  0.391  0.940  0.170
O  0.727  0.015  0.500
O  0.314  0.092  0.830
O  0.060  0.609  0.830
O  0.577  0.346  0.830
Ca  0.984  0.016  0.000
Ca  0.318  0.348  0.334
Ca  0.652  0.682  0.666
C  0.985  0.015  0.500
C  0.317  0.349  0.830
C  0.651  0.683  0.170

Computed properties:
The uncorrected energy is -7.481 eV/atom. Its space group is C2 (5).